# 1
The following is a PBE-GGA calculation of crystalline Tb3Er2Ga2 at its relaxed geometry, from Alexandria via LeMat-Bulk.

Calculated values
- Energy of formation from the pure elements: -0.33 eV/atom

abc: 6.805 6.805 8.762
angles: 113.50 113.50 31.43
Atoms (fractional coordinates):
1 Tb 0.000 0.000 0.000
2 Tb 0.112 0.112 0.437
3 Tb 0.888 0.888 0.563
4 Er 0.355 0.355 0.190
5 Er 0.645 0.645 0.810
6 Ga 0.313 0.313 0.784
7 Ga 0.687 0.687 0.216



# 2
The following is a PBE-GGA calculation of crystalline K4ErTh3Te8 at its relaxed geometry, from Alexandria via LeMat-Bulk.

Calculated values
- E_form (uncorrected): -1.22 eV per atom

abc: 9.892 9.892 9.892
angles: 53.67 53.67 53.67
Atoms (fractional coordinates):
1 K 0.000 0.000 0.000
2 K 0.000 0.500 0.500
3 K 0.500 0.000 0.500
4 K 0.500 0.500 0.000
5 Er 0.500 0.500 0.500
6 Th 0.000 0.000 0.500
7 Th 0.000 0.500 0.000
8 Th 0.500 0.000 0.000
9 Te 0.241 0.241 0.241
10 Te 0.246 0.735 0.735
11 Te 0.265 0.265 0.754
12 Te 0.265 0.754 0.265
13 Te 0.735 0.246 0.735
14 Te 0.735 0.735 0.246
15 Te 0.754 0.265 0.265
16 Te 0.759 0.759 0.759



# 3
The following is a PBE-GGA calculation of crystalline Si3Hg at its relaxed geometry, from Alexandria via LeMat-Bulk.

Calculated values
- E_form (uncorrected): 0.46 eV per atom
- Distance to the lowest polymorph of the same formula: 53 meV per atom

abc: 11.975 11.975 11.975
angles: 162.51 162.51 24.84
Atoms (fractional coordinates):
1 Si 0.000 0.500 0.500
2 Si 0.177 0.177 0.000
3 Si 0.250 0.750 0.500
4 Si 0.500 0.000 0.500
5 Si 0.750 0.250 0.500
6 Si 0.823 0.823 0.000
7 Hg 0.396 0.396 0.000
8 Hg 0.604 0.604 0.000



# 4
The following is a PBE-GGA calculation of crystalline CsCaMg2Rh at its relaxed geometry, from Alexandria via LeMat-Bulk.

Calculated values
- Energy of formation from the pure elements: -0.07 eV/atom

abc: 5.386 5.386 5.471
angles: 90.00 90.00 90.00
Atoms (fractional coordinates):
1 Cs 0.000 0.000 0.000
2 Ca 0.500 0.500 0.000
3 Mg 0.000 0.500 0.500
4 Mg 0.500 0.000 0.500
5 Rh 0.500 0.500 0.500



# 5
The following is a PBE-GGA calculation of crystalline YFeOs2 at its relaxed geometry, from Alexandria via LeMat-Bulk.

Calculated values
- Distance to the lowest polymorph of the same formula: 264 meV per atom
- Energy of formation from the pure elements: 0.50 eV/atom

abc: 5.040 5.040 5.040
angles: 133.57 133.57 67.77
Atoms (fractional coordinates):
1 Y 0.000 0.000 0.000
2 Fe 0.500 0.500 0.000
3 Os 0.250 0.750 0.500
4 Os 0.750 0.250 0.500



# 6
The following is a PBE-GGA calculation of crystalline MnSb4Au at its relaxed geometry, from Alexandria via LeMat-Bulk.

Calculated values
- E_form (uncorrected): 0.62 eV per atom

abc: 6.138 6.138 6.138
angles: 60.00 60.00 60.00
Atoms (fractional coordinates):
1 Mn 0.000 0.000 0.000
2 Sb 0.127 0.624 0.624
3 Sb 0.624 0.127 0.624
4 Sb 0.624 0.624 0.127
5 Sb 0.624 0.624 0.624
6 Au 0.250 0.250 0.250



# 7
The following is a PBE-GGA calculation of crystalline Cs2BaIO6 at its relaxed geometry, from Alexandria via LeMat-Bulk.

Calculated values
- E_form (uncorrected): -1.30 eV per atom

abc: 6.502 6.502 6.502
angles: 60.00 60.00 60.00
Atoms (fractional coordinates):
1 Cs 0.250 0.250 0.250
2 Cs 0.750 0.750 0.750
3 Ba 0.000 0.000 0.000
4 I 0.500 0.500 0.500
5 O 0.292 0.292 0.708
6 O 0.292 0.708 0.292
7 O 0.292 0.708 0.708
8 O 0.708 0.292 0.292
9 O 0.708 0.292 0.708
10 O 0.708 0.708 0.292



# 8
The following is a PBE-GGA calculation of crystalline KSiSbTe2 at its relaxed geometry, from Alexandria via LeMat-Bulk.

Calculated values
- E_form (uncorrected): 1.39 eV per atom
- Distance to the lowest polymorph of the same formula: 1349 meV per atom

abc: 5.941 5.941 5.714
angles: 90.00 90.00 90.00
Atoms (fractional coordinates):
1 K 0.000 0.000 0.000
2 Si 0.500 0.500 0.500
3 Sb 0.000 0.000 0.500
4 Te 0.000 0.500 0.000
5 Te 0.500 0.000 0.000



# 9
The following is a PBE-GGA calculation of crystalline GaCuF2 at its relaxed geometry, from Alexandria via LeMat-Bulk.

Calculated values
- E_form (uncorrected): -1.01 eV per atom
- Distance to the lowest polymorph of the same formula: 537 meV per atom

abc: 4.186 4.186 4.186
angles: 60.00 60.00 60.00
Atoms (fractional coordinates):
1 Ga 0.000 0.000 0.000
2 Cu 0.500 0.500 0.500
3 F 0.250 0.250 0.250
4 F 0.750 0.750 0.750



# 10
The following is a PBE-GGA calculation of crystalline AgPt3Cl at its relaxed geometry, from Alexandria via LeMat-Bulk.

Calculated values
- E_form (uncorrected): 0.89 eV per atom
- Distance to the lowest polymorph of the same formula: 0 meV per atom

abc: 4.547 4.547 4.547
angles: 90.00 90.00 90.00
Atoms (fractional coordinates):
1 Ag 0.000 0.000 0.000
2 Pt 0.000 0.500 0.500
3 Pt 0.500 0.000 0.500
4 Pt 0.500 0.500 0.000
5 Cl 0.500 0.500 0.500



# 11
The following is a PBE-GGA calculation of crystalline Tc2TeIr at its relaxed geometry, from Alexandria via LeMat-Bulk.

Calculated values
- E_form (uncorrected): 0.76 eV per atom

abc: 7.060 7.060 7.060
angles: 131.83 131.83 70.49
Atoms (fractional coordinates):
1 Tc 0.091 0.625 0.966
2 Tc 0.375 0.341 0.466
3 Tc 0.659 0.125 0.034
4 Tc 0.875 0.909 0.534
5 Te 0.250 0.750 0.500
6 Te 0.500 0.500 0.000
7 Ir 0.000 0.000 0.000
8 Ir 0.750 0.250 0.500



# 12
The following is a PBE-GGA calculation of crystalline ScUFe2 at its relaxed geometry, from Alexandria via LeMat-Bulk.

Calculated values
- Energy of formation from the pure elements: -0.07 eV/atom

abc: 3.210 3.210 6.393
angles: 90.00 90.00 90.00
Atoms (fractional coordinates):
1 Sc 0.000 0.000 0.000
2 U 0.000 0.000 0.500
3 Fe 0.500 0.500 0.289
4 Fe 0.500 0.500 0.711



# 13
The following is a PBE-GGA calculation of crystalline Zr2ZnCd at its relaxed geometry, from Alexandria via LeMat-Bulk.

Calculated values
- Distance to the lowest polymorph of the same formula: 137 meV per atom
- Energy of formation from the pure elements: -0.05 eV/atom

abc: 5.473 5.473 5.473
angles: 134.76 134.76 65.90
Atoms (fractional coordinates):
1 Zr 0.000 0.000 0.000
2 Zr 0.750 0.250 0.500
3 Zn 0.500 0.500 0.000
4 Cd 0.250 0.750 0.500



The records above give, respectively, calculated total energy values of -4.479, -4.739, -3.688, -2.751, -8.850, -4.206, -4.793, -1.999, -3.725, -3.674, -7.420, -8.710, -4.867 eV/atom.
The records above give, respectively, total moment values of 0.0, 0.0, 0.0, 0.0, 2.1, 4.9, 1.1, 0.0, 0.0, 0.0, 0.0, 0.5, 0.0 μB/f.u..